No. 1
# Li2TaAg | the Alexandria database | PBE-GGA | optimized geometry
data_Li2TaAg
_space_group_name_H-M_alt 'P 1'
_space_group_IT_number 1
_space_group_name_Hall 'P 1'
_cell_length_a 2.7373
_cell_length_b 5.0426
_cell_length_c 5.0013
_cell_angle_alpha 90.00
_cell_angle_beta 90.00
_cell_angle_gamma 90.00
loop_
_atom_site_label
_atom_site_fract_x
_atom_site_fract_y
_atom_site_fract_z
_atom_site_occupancy
Ag1 0.0000 0.5000 0.5000 1
Li1 0.0000 0.0000 0.0000 1
Li2 0.5000 0.5000 0.0000 1
Ta1 0.5000 0.0000 0.5000 1
# space group = No. 47
# relative energy among the computed polymorphs = 194 meV per atom
# D(E_F) = 2.76 states/eV/f.u.
# calculated total energy = -4.296 eV/atom
# magnetic moment = 0.00 μB/cell
# energy relative to the elements = 0.337 eV/atom

***

No. 2
# Si2AuSe | the Alexandria database | PBE-GGA | optimized geometry
data_Si2AuSe
_space_group_name_H-M_alt 'P 1'
_space_group_IT_number 1
_space_group_name_Hall 'P 1'
_cell_length_a 3.5345
_cell_length_b 2.7323
_cell_length_c 8.2303
_cell_angle_alpha 109.01
_cell_angle_beta 90.00
_cell_angle_gamma 90.00
loop_
_atom_site_label
_atom_site_fract_x
_atom_site_fract_y
_atom_site_fract_z
_atom_site_occupancy
Au1 0.5000 0.2500 0.2500 1
Se1 0.5000 0.7500 0.7500 1
Si1 0.0000 0.0029 0.0070 1
Si2 0.0000 0.4971 0.4930 1
# space group = No. 10
# formation energy (no corrections) = 0.7 eV/f.u.
# D(E_F) = 0.84 states/eV/f.u.
# calculated total energy = -4.225 eV/atom
# magnetic moment = 0.00 μB/cell

***

No. 3
# Cd3Pd | the Alexandria database | PBE-GGA | optimized geometry
data_Cd3Pd
_space_group_name_H-M_alt 'P 1'
_space_group_IT_number 1
_space_group_name_Hall 'P 1'
_cell_length_a 4.7763
_cell_length_b 4.7763
_cell_length_c 4.7763
_cell_angle_alpha 60.00
_cell_angle_beta 60.00
_cell_angle_gamma 60.00
loop_
_atom_site_label
_atom_site_fract_x
_atom_site_fract_y
_atom_site_fract_z
_atom_site_occupancy
Pd1 0.5000 0.5000 0.5000 1
Cd1 0.0000 0.0000 0.0000 1
Cd2 0.7500 0.7500 0.7500 1
Cd3 0.2500 0.2500 0.2500 1
# space group = No. 225
# D(E_F) = 1.55 states/eV/f.u.
# calculated total energy = -2.168 eV/atom
# magnetic moment = 0.00 μB/cell
# energy relative to the elements = -0.183 eV/atom

***

No. 4
# Ca7Ag2HgN2 | the Alexandria database | PBE-GGA | optimized geometry
data_Ca7Ag2HgN2
_space_group_name_H-M_alt 'P 1'
_space_group_IT_number 1
_space_group_name_Hall 'P 1'
_cell_length_a 4.8473
_cell_length_b 4.8473
_cell_length_c 13.2302
_cell_angle_alpha 79.41
_cell_angle_beta 79.41
_cell_angle_gamma 90.02
loop_
_atom_site_label
_atom_site_fract_x
_atom_site_fract_y
_atom_site_fract_z
_atom_site_occupancy
Ca1 0.5000 0.5000 0.0000 1
Ca2 0.3046 0.3046 0.3898 1
Ca3 0.6954 0.6954 0.6102 1
Ca4 0.9021 0.4020 0.1951 1
Ca5 0.4020 0.9021 0.1951 1
Ca6 0.5980 0.0979 0.8049 1
Ca7 0.0979 0.5980 0.8049 1
Ag1 0.8161 0.8161 0.3668 1
Ag2 0.1839 0.1839 0.6332 1
Hg1 0.0000 0.0000 0.0000 1
N1 0.6007 0.6007 0.7993 1
N2 0.3993 0.3993 0.2007 1
# space group = No. 139
# formation energy (no corrections) = -6.5 eV/f.u.
# D(E_F) = 8.76 states/eV/f.u.
# calculated total energy = -3.599 eV/atom
# magnetic moment = 0.00 μB/cell